*i*
# GGA-PBE BeReI2N, relaxed
data_BeReI2N
_cell_length_a 5.325
_cell_length_b 5.325
_cell_length_c 3.155
_cell_angle_alpha 90.00
_cell_angle_beta 90.00
_cell_angle_gamma 90.00
_space_group_name_H-M_alt 'P 4/m m m'
_space_group_IT_number 123
_space_group_name_Hall '-P 4 2'
loop_
_atom_site_label
_atom_site_type_symbol
_atom_site_fract_x
_atom_site_fract_y
_atom_site_fract_z
_atom_site_occupancy
Be1 Be 0.000 0.000 0.000 1
Re1 Re 0.500 0.500 0.500 1
I1 I 0.000 0.500 0.000 1
N1 N 0.000 0.000 0.500 1
# M_tot   2.195 μB per formula unit



*ii*
# GGA-PBE BeReI2N, relaxed
data_BeReI2N
_cell_length_a 5.557
_cell_length_b 5.557
_cell_length_c 3.766
_cell_angle_alpha 90.00
_cell_angle_beta 90.00
_cell_angle_gamma 90.00
_space_group_name_H-M_alt 'P 4/m m m'
_space_group_IT_number 123
_space_group_name_Hall '-P 4 2'
loop_
_atom_site_label
_atom_site_type_symbol
_atom_site_fract_x
_atom_site_fract_y
_atom_site_fract_z
_atom_site_occupancy
Be1 Be 0.000 0.000 0.000 1
Re1 Re 0.500 0.500 0.500 1
I1 I 0.000 0.500 0.500 1
N1 N 0.500 0.500 0.000 1
# M_tot   0.000 μB per formula unit



Which structure is the most stable? The one labeled *ii*.



*i*
# GGA-PBE BeRhI2N, relaxed
data_BeRhI2N
_cell_length_a 5.583
_cell_length_b 5.583
_cell_length_c 3.701
_cell_angle_alpha 90.00
_cell_angle_beta 90.00
_cell_angle_gamma 90.00
_space_group_name_H-M_alt 'P 4/m m m'
_space_group_IT_number 123
_space_group_name_Hall '-P 4 2'
loop_
_atom_site_label
_atom_site_type_symbol
_atom_site_fract_x
_atom_site_fract_y
_atom_site_fract_z
_atom_site_occupancy
Be1 Be 0.000 0.000 0.000 1
Rh1 Rh 0.500 0.500 0.500 1
I1 I 0.000 0.500 0.500 1
N1 N 0.500 0.500 0.000 1
# M_tot   0.000 μB per formula unit



*ii*
# GGA-PBE BeRhI2N, relaxed
data_BeRhI2N
_cell_length_a 5.374
_cell_length_b 5.374
_cell_length_c 3.133
_cell_angle_alpha 90.00
_cell_angle_beta 90.00
_cell_angle_gamma 90.00
_space_group_name_H-M_alt 'P 4/m m m'
_space_group_IT_number 123
_space_group_name_Hall '-P 4 2'
loop_
_atom_site_label
_atom_site_type_symbol
_atom_site_fract_x
_atom_site_fract_y
_atom_site_fract_z
_atom_site_occupancy
Be1 Be 0.000 0.000 0.000 1
Rh1 Rh 0.500 0.500 0.500 1
I1 I 0.000 0.500 0.000 1
N1 N 0.000 0.000 0.500 1
# M_tot   0.000 μB per formula unit



Which structure is the most stable? The one labeled *ii*.